10
Lattice="6.853 0.000 0.000 0.000 6.853 0.000 0.000 0.000 4.530" Properties=species:S:1:pos:R:3 comment="GGA-PBE Ca2TcPd2, relaxed" crystal_system=tetragonal delta_e_f_ev_per_atom=-0.099 pbc="T T T"
Ca 2.218 1.209 2.265
Ca 5.644 2.218 2.265
Ca 1.209 4.635 2.265
Ca 4.635 5.644 2.265
Pd 0.942 2.485 0.000
Pd 4.368 0.942 0.000
Pd 2.485 5.911 0.000
Pd 5.911 4.368 0.000
Tc 3.427 3.427 0.000
Tc 0.000 0.000 0.000